Record 1
5
Lattice="4.887 0.000 0.000 0.000 3.515 0.000 0.000 0.000 4.887" Properties=species:S:1:pos:R:3 comment="RePdRh2O (GGA-PBE, optimized geometry)" raw_formation_energy_kj_per_mol_fu=718 space_group="P4/mmm (123)" mass_density_g_cm3=10.2 magmom_total_mub_per_fu=0.00 total_energy_ev_per_atom=-5.973 pbc="T T T"
Re 2.443 1.758 2.443
Pd 0.000 0.000 0.000
Rh 0.000 0.000 2.443
O 0.000 1.758 0.000
Rh 2.443 0.000 0.000

=====

Record 2
8
Lattice="-2.335 -0.937 -3.246 5.612 -1.331 -3.652 -2.257 -7.051 3.659" Properties=species:S:1:pos:R:3 comment="La4OsBr2F (GGA-PBE, optimized geometry)" raw_formation_energy_kj_per_mol_fu=-1045 space_group="P2/m (10)" mass_density_g_cm3=6.9 magmom_total_mub_per_fu=0.00 total_energy_ev_per_atom=-5.874 pbc="T T T"
La -0.334 -5.990 1.970
La 1.357 -7.133 -1.515
Br 1.677 -4.191 0.004
La 3.689 -2.392 -1.962
La -0.338 -2.186 -1.724
Br -2.296 -3.994 0.207
Os 1.638 -1.134 -3.449
F 0.000 0.000 0.000

=====

Record 3
4
Lattice="-1.366 4.855 -1.700 -5.109 1.494 0.039 -1.675 3.664 3.478" Properties=species:S:1:pos:R:3 comment="SrTcCl2 (GGA-PBE, optimized geometry)" relative_energy_ev_per_fu=2.55 raw_formation_energy_kj_per_mol_fu=39 space_group="F-43m (216)" mass_density_g_cm3=4.0 magmom_total_mub_per_fu=5.03 total_energy_ev_per_atom=-3.834 pbc="T T T"
Cl 0.000 0.000 0.000
Tc -6.112 7.510 1.363
Cl -2.037 2.503 0.454
Sr -4.075 5.007 0.909

=====

Record 4
8
Lattice="-0.562 -2.314 3.681 -4.925 -1.369 -1.613 4.041 -3.227 -1.412" Properties=species:S:1:pos:R:3 comment="Cu6AgSn (GGA-PBE, optimized geometry)" formation_energy_ev_per_atom=0.05 space_group="Amm2 (38)" mass_density_g_cm3=9.0 magmom_total_mub_per_fu=0.00 total_energy_ev_per_atom=-3.881 pbc="T T T"
Cu 0.804 -3.831 -2.285
Cu -2.006 -2.092 0.990
Ag 0.099 -3.625 0.347
Cu 1.276 -1.379 -0.672
Cu -4.387 -2.696 0.246
Sn 3.216 -3.056 -1.430
Cu -2.412 -4.203 -0.399
Cu -1.247 -2.131 -1.530